Zn2PbW | PBE-GGA | relaxed

Results
Total magnetization   0.0 μB/f.u.
DOS(E_F)   0.0568 states/eV/atom
Formation energy from the elements   843 meV/atom
Total DFT energy (no corrections)   -0.14550 Ha/atom
Volume   158.48 Å³/cell

Cell lengths 7.562, 7.562, 6.023 Å; angles 51.11, 51.11, 90.00 degrees
Sites, in units of the cell vectors:
Pb  0.750  0.250  0.500
Pb  0.000  0.000  0.000
W  0.250  0.750  0.500
W  0.500  0.500  0.000
Zn  0.596  0.125  0.250
Zn  0.875  0.846  0.750
Zn  0.154  0.625  0.250
Zn  0.375  0.404  0.750